First-principles (PBE) data for KCd2H after structural relaxation, as listed in Alexandria.

## Properties
**Uncorrected energy**: -10.9 eV/cell

Cell lengths 6.722, 6.722, 6.770 Å; angles 60.24, 60.24, 90.00 degrees
Sites, in units of the cell vectors:
H 0.250 0.750 0.500
H 0.500 0.500 0.000
Cd 0.875 0.626 0.750
Cd 0.376 0.125 0.250
Cd 0.374 0.625 0.250
Cd 0.375 0.624 0.750
K 0.750 0.250 0.500
K 0.000 0.000 0.000

---

First-principles (PBE) data for KCdH3 after structural relaxation, as listed in Alexandria.

## Properties
**Uncorrected energy**: -24.4 eV/cell

Cell lengths 3.437, 6.887, 7.456 Å; angles 90.00, 102.48, 90.00 degrees
Sites, in units of the cell vectors:
H 0.848 0.969 0.687
H 0.476 0.750 0.962
H 0.524 0.250 0.038
H 0.848 0.531 0.687
H 0.152 0.469 0.313
H 0.152 0.031 0.313
Cd 0.914 0.750 0.827
Cd 0.086 0.250 0.173
K 0.664 0.750 0.338
K 0.336 0.250 0.662

---

First-principles (PBE) data for K3Cd2H8 after structural relaxation, as listed in Alexandria.

## Properties
**Uncorrected energy**: -31.4 eV/cell

Cell lengths 5.968, 5.968, 7.829 Å; angles 67.59, 67.59, 60.00 degrees
Site moments in Bohr magnetons follow the coordinates.
Sites, in units of the cell vectors:
K 0.792 0.792 0.624  0.00
K 0.000 0.000 0.000  0.00
K 0.208 0.208 0.376  0.00
H 0.264 0.784 0.688  0.02
H 0.664 0.664 0.007  0.11
H 0.216 0.736 0.312  0.02
H 0.736 0.216 0.312  0.02
H 0.336 0.336 0.993  0.11
H 0.784 0.264 0.688  0.02
H 0.264 0.264 0.688  0.02
H 0.736 0.736 0.312  0.02
Cd 0.422 0.422 0.733  0.06
Cd 0.578 0.578 0.267  0.06

---

First-principles (PBE) data for KMnCdH6 after structural relaxation, as listed in Alexandria.

## Properties
**Uncorrected energy**: -31.5 eV/cell

Cell lengths 4.845, 4.845, 5.214 Å; angles 90.00, 90.00, 60.01 degrees
Site moments in Bohr magnetons follow the coordinates.
Sites, in units of the cell vectors:
H 0.466 0.067 0.273  -0.01
H 0.466 0.067 0.727  -0.01
H 0.467 0.466 0.273  -0.01
H 0.067 0.467 0.273  -0.01
H 0.467 0.466 0.727  -0.01
H 0.067 0.467 0.727  -0.01
Cd 0.667 0.667 0.500  -0.01
Mn 0.333 0.333 0.500  1.94
K 0.000 0.000 0.000  0.00

---

First-principles (PBE) data for K2NaCdH after structural relaxation, as listed in Alexandria.

## Properties
**Uncorrected energy**: -7.8 eV/cell

Cell lengths 5.606, 5.606, 5.022 Å; angles 90.00, 90.00, 90.00 degrees
Sites, in units of the cell vectors:
Na 0.000 0.000 0.500
Cd 0.500 0.500 0.500
K 0.000 0.500 0.000
K 0.500 0.000 0.000
H 0.000 0.000 0.000

---

First-principles (PBE) data for K2NaCdH after structural relaxation, as listed in Alexandria.

## Properties
**Uncorrected energy**: -7.5 eV/cell

Cell lengths 5.336, 5.336, 5.848 Å; angles 90.00, 90.00, 90.00 degrees
Sites, in units of the cell vectors:
Cd 0.000 0.000 0.500
K 0.500 0.000 0.000
K 0.000 0.500 0.000
H 0.000 0.000 0.000
Na 0.500 0.500 0.500